# 1
The following is a DFT calculation (PBE) of crystalline TmZnPbAu at its relaxed geometry.

abc: 5.006 5.006 5.006
angles: 60.00 60.00 60.00
Atoms (fractional coordinates):
Tm  0.000  0.000  0.000
Zn  0.250  0.250  0.250
Pb  0.500  0.500  0.500
Au  0.750  0.750  0.750

---

# 2
The following is a DFT calculation (PBE) of crystalline RbZrOs3 at its relaxed geometry.

abc: 4.692 4.692 4.692
angles: 90.00 90.00 90.00
Atoms (fractional coordinates):
Rb  0.000  0.000  0.000
Zr  0.500  0.500  0.500
Os  0.000  0.000  0.500
Os  0.000  0.500  0.000
Os  0.500  0.000  0.000

---

# 3
The following is a DFT calculation (PBE) of crystalline TlGa2P2 at its relaxed geometry.

abc: 5.770 5.770 5.770
angles: 132.37 132.37 69.65
Atoms (fractional coordinates):
Tl  0.000  0.000  0.000
Ga  0.364  0.364  0.000
Ga  0.636  0.636  0.000
P  0.250  0.750  0.500
P  0.750  0.250  0.500

---

no.,DFT formation energy (meV/atom)
1,-348
2,3309
3,65